MgTl2TcF | PBE-GGA | optimized geometry

Cell lengths 5.6755, 5.6755, 3.5534 Å; angles 90.00, 90.00, 90.00 degrees
Space group P4/mmm (No. 123)
One atom of each set of equivalent atoms:
Mg (0.0000, 0.0000, 0.0000) x1
Tl (0.0000, 0.5000, 0.0000) x2
Tc (0.5000, 0.5000, 0.5000) x1
F (0.0000, 0.0000, 0.5000) x1

Properties
The final energy comes out at -18.58 eV per formula unit. The value obtained for the calculated density is 7.98 g/cm³.